Here is a relaxed YZnMo2 crystal from the Open Quantum Materials Database. Energies are from PBE-GGA.

Cell: 4.6705 4.6705 4.6705 Å, 60.00 60.00 60.00°
Last column: magnetic moment on the atom in μB.
Sites, in units of the cell vectors:
Zn1 0.5000 0.5000 0.5000  0.02
Mo1 0.0000 0.0000 0.0000  -0.03
Mo2 0.7500 0.7500 0.7500  0.31
Y1 0.2500 0.2500 0.2500  0.02

Results
formation enthalpy at 0 K = 234 meV/atom
SG = F-43m, No. 216
crystal system = cubic